Model 1:
First-principles (meta-GGA SCAN) data for KTlW2 at its PBEsol-relaxed geometry, as listed in Alexandria via LeMat-Bulk.

abc: 2.9090 2.9090 11.2021
angles: 82.54 82.54 60.00
Closest atoms and distances in Å follow each position.
Element x y z (fractional)
K: 0.5000 0.5000 0.5000  6 K 2.91
Tl: 0.0000 0.0000 0.0000  6 Tl 2.91, 6 W 2.97
W: 0.2595 0.2595 0.2216  6 W 2.91, 3 Tl 2.97
W: 0.7405 0.7405 0.7784  6 W 2.91, 3 Tl 2.97


Model 2:
First-principles (meta-GGA SCAN) data for KTlW2 at its PBEsol-relaxed geometry, as listed in Alexandria via LeMat-Bulk.

abc: 2.8435 2.8435 11.0419
angles: 90.00 90.00 114.68
Closest atoms and distances in Å follow each position.
Element x y z (fractional)
K: 0.5000 0.5000 0.5000  6 K 2.84-3.07
Tl: 0.5000 0.5000 0.0000  6 Tl 2.84-3.07, 4 W 2.89
W: 0.0000 0.0000 0.2222  6 W 2.84-3.07, 2 Tl 2.89
W: 0.0000 0.0000 0.7778  6 W 2.84-3.07, 2 Tl 2.89


The structure with the greatest stability is model 2.


Model 1:
First-principles (meta-GGA SCAN) data for KY2Tl at its PBEsol-relaxed geometry, as listed in Alexandria via LeMat-Bulk.

abc: 3.5116 3.5116 11.1318
angles: 90.00 90.00 90.00
Closest atoms and distances in Å follow each position.
Element x y z (fractional)
K: 0.5000 0.5000 0.0000  4 K 3.51
Tl: 0.5000 0.5000 0.5000  8 Y 3.21, 4 Tl 3.51
Y: 0.0000 0.0000 0.6829  4 Tl 3.21, 4 Y 3.51
Y: 0.0000 0.0000 0.3171  4 Tl 3.21, 4 Y 3.51


Model 2:
First-principles (meta-GGA SCAN) data for KY2Tl at its PBEsol-relaxed geometry, as listed in Alexandria via LeMat-Bulk.

abc: 3.6818 3.6818 11.9879
angles: 81.17 81.17 60.00
Closest atoms and distances in Å follow each position.
Element x y z (fractional)
K: 0.5000 0.5000 0.5000  6 K 3.68
Tl: 0.0000 0.0000 0.0000  6 Y 3.16
Y: 0.2674 0.2674 0.1979  3 Tl 3.16
Y: 0.7326 0.7326 0.8021  3 Tl 3.16


The structure with the greatest stability is model 1.


Model 1:
First-principles (meta-GGA SCAN) data for KY2Tl at its PBEsol-relaxed geometry, as listed in Alexandria via LeMat-Bulk.

abc: 3.4369 5.9598 6.7487
angles: 97.87 90.00 106.76
Closest atoms and distances in Å follow each position.
Element x y z (fractional)
K: 0.5110 0.0220 0.5169  2 K 3.44, 3 Tl 3.57-3.67, 3 Y 3.61-3.69
Tl: 0.2560 0.5120 0.7913  5 Y 3.26-3.47, 2 Tl 3.44, 2 K 3.57
Y: 0.9942 0.9884 0.9961  3 Tl 3.34-3.47, 5 Y 3.38-3.44, 2 K 3.69
Y: 0.7388 0.4776 0.1958  2 Tl 3.26, 5 Y 3.38-3.44, 1 K 3.61


Model 2:
First-principles (meta-GGA SCAN) data for KY2Tl at its PBEsol-relaxed geometry, as listed in Alexandria via LeMat-Bulk.

abc: 3.8273 5.5041 6.8357
angles: 113.74 106.26 90.00
Closest atoms and distances in Å follow each position.
Element x y z (fractional)
K: 0.5291 0.5291 0.0583  2 Tl 3.38, 6 Y 3.43-3.72
Tl: 0.2632 0.7632 0.5265  6 Y 3.10-3.36, 2 K 3.38
Y: 0.9679 0.9679 0.9357  2 Tl 3.10, 4 K 3.43
Y: 0.7398 0.2398 0.4795  4 Tl 3.36, 2 K 3.72, 2 Y 3.76


The structure with the greatest stability is model 2.


Model 1:
First-principles (meta-GGA SCAN) data for KTl2Zn at its PBEsol-relaxed geometry, as listed in Alexandria via LeMat-Bulk.

abc: 5.2866 5.2866 5.2866
angles: 60.00 60.00 60.00
Closest atoms and distances in Å follow each position.
Element x y z (fractional)
K: 0.0000 0.0000 0.0000  8 Tl 3.24
Tl: 0.2500 0.2500 0.2500  4 K 3.24, 4 Zn 3.24
Tl: 0.7500 0.7500 0.7500  4 K 3.24, 4 Zn 3.24
Zn: 0.5000 0.5000 0.5000  8 Tl 3.24


Model 2:
First-principles (meta-GGA SCAN) data for KTl2Zn at its PBEsol-relaxed geometry, as listed in Alexandria via LeMat-Bulk.

abc: 4.3413 5.4484 5.9047
angles: 117.47 111.57 90.00
Closest atoms and distances in Å follow each position.
Element x y z (fractional)
K: 0.2355 0.7355 0.4711  4 Zn 3.35-3.51, 8 Tl 3.42-3.51
Tl: 0.0184 0.0184 0.0369  4 Tl 3.29-3.56, 4 K 3.42-3.46, 4 Zn 3.52
Tl: 0.7776 0.2776 0.5552  2 Zn 2.83
Zn: 0.4684 0.4684 0.9369  2 Tl 2.83


Model 3:
First-principles (meta-GGA SCAN) data for KTl2Zn at its PBEsol-relaxed geometry, as listed in Alexandria via LeMat-Bulk.

abc: 4.6254 4.6254 7.1044
angles: 71.00 71.00 60.00
Closest atoms and distances in Å follow each position.
Element x y z (fractional)
K: 0.0000 0.0000 0.0000  6 Tl 3.53
Tl: 0.2164 0.2164 0.3508  3 Zn 2.85
Tl: 0.7836 0.7836 0.6492  3 Zn 2.85
Zn: 0.5000 0.5000 0.5000  6 Tl 2.85


The structure with the greatest stability is model 3.


Model 1:
First-principles (meta-GGA SCAN) data for KZn2W at its PBEsol-relaxed geometry, as listed in Alexandria via LeMat-Bulk.

abc: 3.9355 3.9355 5.4933
angles: 110.99 110.99 90.00
Closest atoms and distances in Å follow each position.
Element x y z (fractional)
K: 0.5000 0.5000 0.0000  8 Zn 2.78-3.08, 4 W 3.08
W: 0.2500 0.7500 0.5000  8 Zn 2.78-3.08, 4 K 3.08
Zn: 0.0000 0.0000 0.0000  4 K 2.78, 4 W 3.08, 4 Zn 3.08
Zn: 0.7500 0.2500 0.5000  4 W 2.78, 4 K 3.08, 4 Zn 3.08


Model 2:
First-principles (meta-GGA SCAN) data for KZn2W at its PBEsol-relaxed geometry, as listed in Alexandria via LeMat-Bulk.

abc: 2.7265 2.7265 9.7522
angles: 90.00 90.00 90.00
Closest atoms and distances in Å follow each position.
Element x y z (fractional)
K: 0.5000 0.5000 0.0000  4 K 2.73
W: 0.5000 0.5000 0.5000  4 W 2.73, 8 Zn 2.79
Zn: 0.0000 0.0000 0.7071  4 Zn 2.73, 4 W 2.79
Zn: 0.0000 0.0000 0.2929  4 Zn 2.73, 4 W 2.79


The structure with the greatest stability is model 2.


Model 1:
First-principles (meta-GGA SCAN) data for KY2Zr at its PBEsol-relaxed geometry, as listed in Alexandria via LeMat-Bulk.

abc: 3.2906 5.9723 6.8567
angles: 95.89 90.00 105.99
Closest atoms and distances in Å follow each position.
Element x y z (fractional)
K: 0.2465 0.4929 0.7511  2 K 3.29, 3 Y 3.56-3.66
Y: 0.0074 0.0148 0.0406  2 Zr 3.17, 5 Y 3.29-3.54, 1 K 3.56
Y: 0.7564 0.5127 0.2759  3 Zr 3.23-3.35, 5 Y 3.29-3.54
Zr: 0.4898 0.9796 0.4324  5 Y 3.17-3.35, 2 Zr 3.29


Model 2:
First-principles (meta-GGA SCAN) data for KY2Zr at its PBEsol-relaxed geometry, as listed in Alexandria via LeMat-Bulk.

abc: 3.2673 5.3971 7.8432
angles: 90.00 101.67 90.00
Closest atoms and distances in Å follow each position.
Element x y z (fractional)
K: 0.1914 0.5000 0.7476  2 K 3.27, 1 Y 3.57
Y: 0.8425 0.0000 0.0574  2 Zr 3.18, 4 Y 3.21-3.27
Y: 0.9512 0.5000 0.2829  4 Y 3.21-3.27, 4 Zr 3.31, 1 K 3.57
Zr: 0.5148 0.0000 0.4122  6 Y 3.18-3.31, 2 Zr 3.27


The structure with the greatest stability is model 2.


Model 1:
First-principles (meta-GGA SCAN) data for KZr at its PBEsol-relaxed geometry, as listed in Alexandria via LeMat-Bulk.

abc: 3.2839 3.2839 12.7287
angles: 90.00 90.00 90.00
Closest atoms and distances in Å follow each position.
Element x y z (fractional)
K: 0.5000 0.0000 0.1629  4 K 3.28
K: 0.0000 0.5000 0.8371  4 K 3.28
Zr: 0.5000 0.0000 0.5766  8 Zr 3.03-3.28
Zr: 0.0000 0.5000 0.4234  8 Zr 3.03-3.28


Model 2:
First-principles (meta-GGA SCAN) data for KZr at its PBEsol-relaxed geometry, as listed in Alexandria via LeMat-Bulk.

abc: 3.3939 3.3939 12.9836
angles: 90.00 90.00 120.00
Closest atoms and distances in Å follow each position.
Element x y z (fractional)
K: 0.3333 0.6667 0.1572  6 K 3.39
K: 0.6667 0.3333 0.8428  6 K 3.39
Zr: 0.3333 0.6667 0.5882  3 Zr 3.01
Zr: 0.6667 0.3333 0.4118  3 Zr 3.01


Model 3:
First-principles (meta-GGA SCAN) data for KZr at its PBEsol-relaxed geometry, as listed in Alexandria via LeMat-Bulk.

abc: 5.0143 6.3740 6.3740
angles: 120.00 90.00 90.00
Closest atoms and distances in Å follow each position.
Element x y z (fractional)
K: 0.7500 0.6667 0.3333  6 Zr 3.89
K: 0.2500 0.3333 0.6667  6 Zr 3.89
Zr: 0.0000 0.0000 0.0000  2 Zr 2.51
Zr: 0.5000 0.0000 0.0000  2 Zr 2.51


The structure with the greatest stability is model 1.


Model 1:
First-principles (meta-GGA SCAN) data for KZr2 at its PBEsol-relaxed geometry, as listed in Alexandria via LeMat-Bulk.

abc: 3.2115 5.5486 11.6805
angles: 82.08 82.10 73.18
Closest atoms and distances in Å follow each position.
Element x y z (fractional)
K: 0.1786 0.7757 0.8672  2 K 3.21
K: 0.8214 0.2243 0.1328  2 K 3.21
Zr: 0.4774 0.6787 0.3665  7 Zr 2.97-3.21
Zr: 0.8190 0.7873 0.5748  9 Zr 2.97-3.21
Zr: 0.1810 0.2127 0.4252  9 Zr 2.97-3.21
Zr: 0.5226 0.3213 0.6335  7 Zr 2.97-3.21


Model 2:
First-principles (meta-GGA SCAN) data for KZr2 at its PBEsol-relaxed geometry, as listed in Alexandria via LeMat-Bulk.

abc: 2.9323 6.2042 9.1370
angles: 90.00 99.23 90.00
Closest atoms and distances in Å follow each position.
Element x y z (fractional)
K: 0.6232 0.7500 0.2464  2 K 2.93
K: 0.3768 0.2500 0.7536  2 K 2.93
Zr: 0.9420 0.7500 0.8839  4 Zr 2.93
Zr: 0.3012 0.7500 0.6024  4 Zr 2.93
Zr: 0.6988 0.2500 0.3976  4 Zr 2.93
Zr: 0.0580 0.2500 0.1161  4 Zr 2.93


The structure with the greatest stability is model 1.


Model 1:
First-principles (meta-GGA SCAN) data for La at its PBEsol-relaxed geometry, as listed in Alexandria via LeMat-Bulk.

abc: 3.6533 3.6533 11.7351
angles: 90.00 90.00 120.00
Closest atoms and distances in Å follow each position.
Element x y z (fractional)
La: 0.0000 0.0000 0.5000  12 La 3.61-3.65
La: 0.0000 0.0000 0.0000  12 La 3.61-3.65
La: 0.3333 0.6667 0.2500  12 La 3.61-3.65
La: 0.6667 0.3333 0.7500  12 La 3.61-3.65


Model 2:
First-principles (meta-GGA SCAN) data for La at its PBEsol-relaxed geometry, as listed in Alexandria via LeMat-Bulk.

abc: 3.5162 5.7864 5.7864
angles: 120.00 90.00 90.00
Closest atoms and distances in Å follow each position.
Element x y z (fractional)
La: 0.5000 0.0000 0.0000  14 La 3.52-3.78
La: 0.0000 0.6667 0.3333  5 La 3.34-3.52
La: 0.0000 0.3333 0.6667  5 La 3.34-3.52


Model 3:
First-principles (meta-GGA SCAN) data for La at its PBEsol-relaxed geometry, as listed in Alexandria via LeMat-Bulk.

abc: 3.6484 3.6484 5.9535
angles: 90.00 90.00 120.00
Closest atoms and distances in Å follow each position.
Element x y z (fractional)
La: 0.3333 0.6667 0.2500  12 La 3.65
La: 0.6667 0.3333 0.7500  12 La 3.65


The structure with the greatest stability is model 1.


Model 1:
First-principles (meta-GGA SCAN) data for LiLa at its PBEsol-relaxed geometry, as listed in Alexandria via LeMat-Bulk.

abc: 3.3518 4.7195 6.8053
angles: 90.00 104.26 90.00
Closest atoms and distances in Å follow each position.
Element x y z (fractional)
La: 0.5686 0.7500 0.1372  2 La 2.97, 5 Li 3.23-3.29
La: 0.4314 0.2500 0.8628  2 La 2.97, 5 Li 3.23-3.29
Li: 0.8134 0.7500 0.6268  5 La 3.23-3.29, 6 Li 3.34-3.35
Li: 0.1866 0.2500 0.3732  5 La 3.23-3.29, 6 Li 3.34-3.35


Model 2:
First-principles (meta-GGA SCAN) data for LiLa at its PBEsol-relaxed geometry, as listed in Alexandria via LeMat-Bulk.

abc: 3.5604 3.5604 8.4914
angles: 90.00 90.00 90.00
Closest atoms and distances in Å follow each position.
Element x y z (fractional)
La: 0.5000 0.0000 0.1414  5 Li 3.44-3.74, 8 La 3.48-3.56
La: 0.0000 0.5000 0.8586  5 Li 3.44-3.74, 8 La 3.48-3.56
Li: 0.5000 0.0000 0.5823  4 Li 2.88
Li: 0.0000 0.5000 0.4177  4 Li 2.88


The structure with the greatest stability is model 2.


Model 1:
First-principles (meta-GGA SCAN) data for LiLa at its PBEsol-relaxed geometry, as listed in Alexandria via LeMat-Bulk.

abc: 3.3839 3.3839 11.0908
angles: 90.00 90.00 114.53
Closest atoms and distances in Å follow each position.
Element x y z (fractional)
La: 0.2500 0.7500 0.1364  8 La 3.38-3.66, 2 Li 3.40
La: 0.7500 0.2500 0.8636  8 La 3.38-3.66, 2 Li 3.40
Li: 0.2500 0.7500 0.6055  2 Li 2.97
Li: 0.7500 0.2500 0.3945  2 Li 2.97


Model 2:
First-principles (meta-GGA SCAN) data for LiLa at its PBEsol-relaxed geometry, as listed in Alexandria via LeMat-Bulk.

abc: 5.2267 5.2267 5.2267
angles: 60.00 60.00 60.00
Closest atoms and distances in Å follow each position.
Element x y z (fractional)
La: 0.5000 0.5000 0.5000  4 La 3.20, 4 Li 3.20
La: 0.7500 0.7500 0.7500  4 La 3.20, 4 Li 3.20
Li: 0.0000 0.0000 0.0000  4 La 3.20, 4 Li 3.20
Li: 0.2500 0.2500 0.2500  4 Li 3.20, 4 La 3.20


Model 3:
First-principles (meta-GGA SCAN) data for LiLa at its PBEsol-relaxed geometry, as listed in Alexandria via LeMat-Bulk.

abc: 3.4827 3.4827 11.1406
angles: 81.01 81.01 60.00
Closest atoms and distances in Å follow each position.
Element x y z (fractional)
Li: 0.6314 0.6314 0.1059  3 Li 3.07
Li: 0.3686 0.3686 0.8941  3 Li 3.07
La: 0.1214 0.1214 0.6357  3 Li 3.47, 9 La 3.48-3.59
La: 0.8786 0.8786 0.3643  3 Li 3.47, 9 La 3.48-3.59


The structure with the greatest stability is model 3.


Model 1:
First-principles (meta-GGA SCAN) data for Li2La at its PBEsol-relaxed geometry, as listed in Alexandria via LeMat-Bulk.

abc: 3.3625 5.2411 8.7069
angles: 90.00 101.13 90.00
Closest atoms and distances in Å follow each position.
Element x y z (fractional)
Li: 0.0979 0.7500 0.1959  6 Li 2.99-3.24, 2 La 3.34
Li: 0.4535 0.7500 0.9070  8 Li 2.99-3.24
Li: 0.5465 0.2500 0.0930  8 Li 2.99-3.24
Li: 0.9021 0.2500 0.8041  6 Li 2.99-3.24, 2 La 3.34
La: 0.7810 0.7500 0.5619  6 La 3.29-3.36, 6 Li 3.34-3.55
La: 0.2190 0.2500 0.4381  6 La 3.29-3.36, 6 Li 3.34-3.55


Model 2:
First-principles (meta-GGA SCAN) data for Li2La at its PBEsol-relaxed geometry, as listed in Alexandria via LeMat-Bulk.

abc: 3.3507 3.3507 8.0901
angles: 90.00 90.00 120.00
Closest atoms and distances in Å follow each position.
Element x y z (fractional)
Li: 0.3333 0.6667 0.3528  9 Li 3.07-3.35
Li: 0.6667 0.3333 0.6472  9 Li 3.07-3.35
La: 0.0000 0.0000 0.0000  6 La 3.35, 6 Li 3.45


The structure with the greatest stability is model 1.


Model 1:
First-principles (meta-GGA SCAN) data for LiLa3 at its PBEsol-relaxed geometry, as listed in Alexandria via LeMat-Bulk.

abc: 3.5513 5.7263 5.9917
angles: 90.00 90.00 90.00
Closest atoms and distances in Å follow each position.
Element x y z (fractional)
Li: 0.0000 0.5000 0.3476  10 La 3.38-3.58, 2 Li 3.55
La: 0.0000 0.0000 0.9967  8 La 3.27-3.55, 2 Li 3.55
La: 0.5000 0.0000 0.4555  4 La 3.27-3.55, 4 Li 3.43
La: 0.5000 0.5000 0.8668  4 Li 3.38-3.58, 8 La 3.46-3.78


Model 2:
First-principles (meta-GGA SCAN) data for LiLa3 at its PBEsol-relaxed geometry, as listed in Alexandria via LeMat-Bulk.

abc: 3.5958 3.5958 9.4281
angles: 90.00 90.00 90.00
Closest atoms and distances in Å follow each position.
Element x y z (fractional)
La: 0.0000 0.0000 0.7386  4 Li 3.40, 8 La 3.54-3.60
La: 0.5000 0.5000 0.0000  12 La 3.54-3.60
La: 0.0000 0.0000 0.2614  4 Li 3.40, 8 La 3.54-3.60
Li: 0.5000 0.5000 0.5000  8 La 3.40, 4 Li 3.60


Model 3:
First-principles (meta-GGA SCAN) data for LiLa3 at its PBEsol-relaxed geometry, as listed in Alexandria via LeMat-Bulk.

abc: 3.5614 3.5614 11.6713
angles: 81.22 81.22 60.00
Closest atoms and distances in Å follow each position.
Element x y z (fractional)
Li: 0.0000 0.0000 0.0000  6 La 3.50, 6 Li 3.56
La: 0.7490 0.7490 0.7531  3 Li 3.50, 9 La 3.56
La: 0.5000 0.5000 0.5000  12 La 3.56
La: 0.2510 0.2510 0.2469  3 Li 3.50, 9 La 3.56


The structure with the greatest stability is model 2.